(1)
{"formula": "Li8Mg6Tl", "functional": "GGA-PBE", "state": "optimized geometry", "delta_e_f_mev_per_atom": -14, "n_ef_per_ev_atom": 0.4201, "relative_energy_mev_per_atom": 0, "lattice": [[8.334, 0.000, 0.000], [4.167, 7.217, 0.000], [4.167, 2.406, 5.205]], "species": ["Li", "Li", "Li", "Li", "Li", "Li", "Li", "Li", "Mg", "Mg", "Mg", "Mg", "Mg", "Mg", "Tl"], "fractional_positions": [[0.620, 0.138, 0.291], [0.862, 0.048, 0.709], [0.048, 0.380, 0.709], [0.763, 0.763, 0.711], [0.237, 0.237, 0.289], [0.952, 0.620, 0.291], [0.138, 0.952, 0.291], [0.380, 0.862, 0.709], [0.430, 0.177, 0.771], [0.823, 0.378, 0.229], [0.378, 0.570, 0.229], [0.622, 0.430, 0.771], [0.177, 0.622, 0.771], [0.570, 0.823, 0.229], [0.000, 0.000, 0.000]]}

(2)
{"formula": "LiMg8Tl2", "functional": "GGA-PBE", "state": "optimized geometry", "delta_e_f_mev_per_atom": 34, "n_ef_per_ev_atom": 0.4212, "relative_energy_mev_per_atom": 54, "lattice": [[4.699, 0.000, 0.000], [0.000, 4.699, 0.000], [0.000, 0.000, 11.692]], "species": ["Li", "Mg", "Mg", "Mg", "Mg", "Mg", "Mg", "Mg", "Mg", "Tl", "Tl"], "fractional_positions": [[0.000, 0.000, 0.000], [0.000, 0.500, 0.500], [0.500, 0.000, 0.500], [0.500, 0.500, 0.321], [0.500, 0.500, 0.679], [0.000, 0.500, 0.135], [0.500, 0.000, 0.135], [0.000, 0.500, 0.865], [0.500, 0.000, 0.865], [0.000, 0.000, 0.314], [0.000, 0.000, 0.686]]}

(3)
{"formula": "LiMg5Tl4", "functional": "GGA-PBE", "state": "optimized geometry", "delta_e_f_mev_per_atom": -66, "n_ef_per_ev_atom": 0.4152, "relative_energy_mev_per_atom": 0, "lattice": [[4.802, 0.000, -1.646], [-0.569, 6.058, -1.659], [0.104, -0.039, 8.131]], "species": ["Li", "Mg", "Mg", "Mg", "Mg", "Mg", "Tl", "Tl", "Tl", "Tl"], "fractional_positions": [[0.500, 0.000, 0.000], [0.295, 0.188, 0.590], [0.107, 0.388, 0.213], [0.893, 0.612, 0.787], [0.500, 0.500, 0.000], [0.705, 0.812, 0.410], [0.693, 0.299, 0.386], [0.091, 0.866, 0.182], [0.307, 0.701, 0.614], [0.909, 0.134, 0.818]]}

(4)
{"formula": "LiMgTl", "functional": "GGA-PBE", "state": "optimized geometry", "delta_e_f_mev_per_atom": -153, "n_ef_per_ev_atom": 0.3800, "relative_energy_mev_per_atom": 29, "lattice": [[6.162, 0.000, 0.066], [0.000, 5.041, 0.000], [0.083, 0.000, 8.461]], "species": ["Li", "Li", "Li", "Li", "Mg", "Mg", "Mg", "Mg", "Tl", "Tl", "Tl", "Tl"], "fractional_positions": [[0.658, 0.000, 0.328], [0.658, 0.500, 0.828], [0.436, 0.000, 0.998], [0.436, 0.500, 0.498], [0.930, 0.000, 0.997], [0.930, 0.500, 0.497], [0.214, 0.000, 0.666], [0.214, 0.500, 0.166], [0.167, 0.000, 0.329], [0.167, 0.500, 0.829], [0.703, 0.000, 0.664], [0.703, 0.500, 0.164]]}

Question: Number 3 is which compound?
Answer: LiMg5Tl4

What did the first record say?
{"formula": "Li8Mg6Tl", "functional": "GGA-PBE", "state": "optimized geometry", "delta_e_f_mev_per_atom": -14, "n_ef_per_ev_atom": 0.4201, "relative_energy_mev_per_atom": 0, "lattice": [[8.334, 0.000, 0.000], [4.167, 7.217, 0.000], [4.167, 2.406, 5.205]], "species": ["Li", "Li", "Li", "Li", "Li", "Li", "Li", "Li", "Mg", "Mg", "Mg", "Mg", "Mg", "Mg", "Tl"], "fractional_positions": [[0.620, 0.138, 0.291], [0.862, 0.048, 0.709], [0.048, 0.380, 0.709], [0.763, 0.763, 0.711], [0.237, 0.237, 0.289], [0.952, 0.620, 0.291], [0.138, 0.952, 0.291], [0.380, 0.862, 0.709], [0.430, 0.177, 0.771], [0.823, 0.378, 0.229], [0.378, 0.570, 0.229], [0.622, 0.430, 0.771], [0.177, 0.622, 0.771], [0.570, 0.823, 0.229], [0.000, 0.000, 0.000]]}